Compound: Y4CdCu2Ru
Source: the Alexandria database
Functional: PBE-GGA
Structure: optimized geometry

abc: 5.0166 5.0166 24.4196
angles: 90.00 90.00 120.00
Space group R-3m (No. 166, hexagonal axes)
One atom of each set of equivalent atoms:
Y1 0.0000 0.0000 0.1166 [6 per cell]
Y2 0.0000 0.0000 0.3681 [6 per cell]
Cd1 0.0000 0.0000 0.5000 [3 per cell]
Cu1 0.0000 0.0000 0.2445 [6 per cell]
Ru1 0.0000 0.0000 0.0000 [3 per cell]

Output
- calculated total energy (eV/atom) = -5.83
- formation enthalpy at 0 K (meV per atom) = -301

Compound: Cd2CuS3
Source: the Alexandria database
Functional: PBE-GGA
Structure: optimized geometry

abc: 4.0029 12.1700 5.6719
angles: 90.00 90.00 90.00
Space group Imm2 (No. 44)
One atom of each set of equivalent atoms:
Cd1 0.0000 0.1633 0.0000 [4 per cell]
Cu1 0.0000 0.5000 0.0138 [2 per cell]
S1 0.0000 0.0000 0.7142 [2 per cell]
S2 0.0000 0.3459 0.7780 [4 per cell]

Output
- calculated total energy (eV/atom) = -3.47
- formation energy from raw total energies (eV/atom) = -0.419

Compound: Cd2Cu2S
Source: the Alexandria database
Functional: PBE-GGA
Structure: optimized geometry

abc: 7.1175 7.1175 3.6972
angles: 90.00 90.00 90.00
Space group P4/mbm (No. 127)
One atom of each set of equivalent atoms:
Cd1 0.1633 0.3367 0.0000 [4 per cell]
Cu1 0.1241 0.6241 0.5000 [4 per cell]
S1 0.0000 0.0000 0.0000 [2 per cell]

Output
- calculated total energy (eV/atom) = -2.56
- formation energy from raw total energies (eV/atom) = 0.272
- distance to the lowest polymorph of the same formula (meV/atom) = 181

Compound: CdCuS2
Source: the Alexandria database
Functional: PBE-GGA
Structure: optimized geometry

abc: 3.9554 3.9554 21.0941
angles: 90.00 90.00 120.00
Space group R-3m (No. 166, hexagonal axes)
One atom of each set of equivalent atoms:
Cd1 0.0000 0.0000 0.0000 [3 per cell]
Cu1 0.0000 0.0000 0.5000 [3 per cell]
S1 0.0000 0.0000 0.4005 [6 per cell]

Output
- calculated total energy (eV/atom) = -3.45
- formation energy from raw total energies (eV/atom) = -0.138

Compound: Cd2Cu2S
Source: the Alexandria database
Functional: PBE-GGA
Structure: optimized geometry

abc: 6.4660 6.4660 4.1762
angles: 90.00 90.00 90.00
Space group P4/mbm (No. 127)
One atom of each set of equivalent atoms:
Cd1 0.1597 0.3403 0.0000 [4 per cell]
Cu1 0.1394 0.6394 0.5000 [4 per cell]
S1 0.0000 0.0000 0.5000 [2 per cell]

Output
- calculated total energy (eV/atom) = -2.74
- formation energy from raw total energies (eV/atom) = 0.090
- distance to the lowest polymorph of the same formula (meV/atom) = 0

Compound: CdCuS
Source: the Alexandria database
Functional: PBE-GGA
Structure: optimized geometry

abc: 4.0783 4.6943 6.4753
angles: 90.00 103.10 90.00
Space group P2_1/m (No. 11)
One atom of each set of equivalent atoms:
Cd1 0.2462 0.2500 0.1993 [2 per cell]
Cu1 0.4508 0.7500 0.3873 [2 per cell]
S1 0.1190 0.2500 0.7850 [2 per cell]

Output
- calculated total energy (eV/atom) = -3.15
- formation energy from raw total energies (eV/atom) = -0.101

| no. | calculated density (Mg/m³) | DOS(E_F) (states/eV per cell) |
| --- | --- | --- |
| 1 | 6.52 | 17.476 |
| 2 | 4.62 | 7.516 |
| 3 | 6.81 | 2.654 |
| 4 | 4.18 | 7.042 |
| 5 | 7.30 | 3.814 |
| 6 | 5.72 | 3.321 |